Entry 1:
Computed, not measured: an optimized crystal structure of SiNiPH at the PBE level of DFT.

Cell and atoms, written as POSCAR:
```
SiNiPH
1.0
2.519 0.000 0.000
0.000 3.516 0.000
-1.244 0.000 5.159
Si Ni P H
1 1 1 1
Direct
0.000 0.000 0.000
0.593 0.500 0.187
0.774 0.000 0.547
0.763 0.500 0.524
```

## Properties
For the uncorrected energy, the calculation gives -4.93 eV per atom. The space-group type is Pm (6). The calculation puts the energy above the lowest structure with this stoichiometry at 0.82 eV/f.u.

=====

Entry 2:
Computed, not measured: an optimized crystal structure of LaAuSe at the PBE level of DFT.

Cell and atoms, written as POSCAR:
```
LaAuSe
1.0
3.003 -3.003 0.000
3.003 3.003 0.000
-0.017 0.000 8.615
La Au Se
2 2 2
Direct
0.249 0.249 0.283
0.751 0.751 0.717
0.250 0.750 0.000
0.750 0.250 0.000
0.251 0.251 0.641
0.749 0.749 0.359
```

## Properties
For the uncorrected energy, the calculation gives -5.30 eV per atom. The space-group type is C2/m (12). The calculation puts the energy above the lowest structure with this stoichiometry at 0.00 eV/f.u. The energy relative to the elements, uncorrected is -32.32 kcal/mol of atoms.